Entry 1:
# MgTe2P GGA-PBE relaxed
# * total magnetic moment: 0.0 μB per cell
# * electronic total energy: -3.2220 eV per atom
data_MgTe2P
_symmetry_space_group_name_H-M 'P 1'
_symmetry_Int_Tables_number 1
_cell_length_a 3.309
_cell_length_b 3.309
_cell_length_c 8.909
_cell_angle_alpha 90.00
_cell_angle_beta 90.00
_cell_angle_gamma 90.00
loop_
_symmetry_equiv_pos_as_xyz
'x,y,z'
loop_
_atom_site_label
_atom_site_type_symbol
_atom_site_fract_x
_atom_site_fract_y
_atom_site_fract_z
P1 P 0.500 0.500 0.719
Te1 Te 0.000 0.000 0.919
Te2 Te 0.500 0.500 0.303
Mg1 Mg 0.000 0.000 0.559

Entry 2:
# Tl4Ag5Te6 GGA-PBE relaxed
# * total magnetic moment: 0.0 μB per cell
# * electronic total energy: -2.9884 eV per atom
data_Tl4Ag5Te6
_symmetry_space_group_name_H-M 'P 1'
_symmetry_Int_Tables_number 1
_cell_length_a 4.849
_cell_length_b 10.595
_cell_length_c 18.372
_cell_angle_alpha 90.00
_cell_angle_beta 90.00
_cell_angle_gamma 103.23
loop_
_symmetry_equiv_pos_as_xyz
'x,y,z'
loop_
_atom_site_label
_atom_site_type_symbol
_atom_site_fract_x
_atom_site_fract_y
_atom_site_fract_z
Tl1 Tl 0.176 0.353 0.309
Tl2 Tl 0.178 0.356 0.953
Te1 Te 0.868 0.735 0.630
Te2 Te 0.216 0.433 0.499
Ag1 Ag 0.286 0.572 0.633
Te3 Te 0.782 0.564 0.268
Tl3 Tl 0.987 0.975 0.257
Te4 Te 0.132 0.265 0.130
Tl4 Tl 0.824 0.647 0.809
Ag2 Ag 0.358 0.717 0.992
Tl5 Tl 0.013 0.025 0.757
Te5 Te 0.568 0.136 0.893
Ag3 Ag 0.642 0.283 0.762
Ag4 Ag 0.358 0.717 0.262
Te6 Te 0.784 0.567 0.999
Ag5 Ag 0.857 0.714 0.135
Te7 Te 0.432 0.864 0.393
Tl6 Tl 0.822 0.644 0.453
Ag6 Ag 0.714 0.428 0.133
Te8 Te 0.568 0.135 0.627
Ag7 Ag 0.143 0.286 0.635
Ag8 Ag 0.566 0.132 0.134
Ag9 Ag 0.642 0.283 0.492
Ag10 Ag 0.434 0.868 0.634
Te9 Te 0.218 0.436 0.768
Te10 Te 0.433 0.867 0.863
Tl7 Tl 0.988 0.976 0.000
Tl8 Tl 0.012 0.024 0.500
Te11 Te 0.432 0.865 0.127
Te12 Te 0.567 0.133 0.363

Entry 3:
# CsVBrCl6 GGA-PBE relaxed
# * total magnetic moment: 1.0 μB per cell
# * electronic total energy: -3.6245 eV per atom
data_CsVBrCl6
_symmetry_space_group_name_H-M 'P 1'
_symmetry_Int_Tables_number 1
_cell_length_a 7.210
_cell_length_b 7.653
_cell_length_c 8.579
_cell_angle_alpha 65.77
_cell_angle_beta 56.45
_cell_angle_gamma 58.65
loop_
_symmetry_equiv_pos_as_xyz
'x,y,z'
loop_
_atom_site_label
_atom_site_type_symbol
_atom_site_fract_x
_atom_site_fract_y
_atom_site_fract_z
V1 V 0.374 0.355 0.467
Cl1 Cl 0.484 0.151 0.703
Cl2 Cl 0.253 0.449 0.245
Cl3 Cl 0.078 0.162 0.628
Cl4 Cl 0.699 0.033 0.315
Br1 Br 0.888 0.100 0.973
Cl5 Cl 0.077 0.614 0.632
Cs1 Cs 0.509 0.631 0.730
Cl6 Cl 0.638 0.505 0.308

Entry 4:
# LiCa6Ni2 GGA-PBE relaxed
# * total magnetic moment: 0.0 μB per cell
# * electronic total energy: -2.9050 eV per atom
# * ΔH_f (0 K): -0.07 eV per atom
data_LiCa6Ni2
_symmetry_space_group_name_H-M 'P 1'
_symmetry_Int_Tables_number 1
_cell_length_a 8.853
_cell_length_b 8.853
_cell_length_c 8.853
_cell_angle_alpha 105.75
_cell_angle_beta 110.62
_cell_angle_gamma 112.11
loop_
_symmetry_equiv_pos_as_xyz
'x,y,z'
loop_
_atom_site_label
_atom_site_type_symbol
_atom_site_fract_x
_atom_site_fract_y
_atom_site_fract_z
Ca1 Ca 0.477 0.295 0.182
Li1 Li 0.000 0.500 0.500
Ca2 Ca 0.210 0.774 0.984
Ca3 Ca 0.887 0.705 0.182
Li2 Li 0.000 0.000 0.000
Ni1 Ni 0.500 0.611 0.111
Ca4 Ca 0.523 0.705 0.818
Ca5 Ca 0.309 0.631 0.322
Ca6 Ca 0.210 0.226 0.436
Ca7 Ca 0.309 0.987 0.678
Ca8 Ca 0.691 0.013 0.322
Ni2 Ni 0.621 0.000 0.621
Ni3 Ni 0.379 0.000 0.379
Ni4 Ni 0.500 0.389 0.889
Ca9 Ca 0.790 0.774 0.564
Ca10 Ca 0.691 0.369 0.678
Ca11 Ca 0.790 0.226 0.016
Ca12 Ca 0.113 0.295 0.818

Entry 5:
# Er4MgTl3 GGA-PBE relaxed
# * total magnetic moment: 0.0 μB per cell
# * electronic total energy: -3.5858 eV per atom
# * ΔH_f (0 K): -0.22 eV per atom
data_Er4MgTl3
_symmetry_space_group_name_H-M 'P 1'
_symmetry_Int_Tables_number 1
_cell_length_a 3.742
_cell_length_b 4.835
_cell_length_c 12.130
_cell_angle_alpha 90.00
_cell_angle_beta 90.00
_cell_angle_gamma 90.00
loop_
_symmetry_equiv_pos_as_xyz
'x,y,z'
loop_
_atom_site_label
_atom_site_type_symbol
_atom_site_fract_x
_atom_site_fract_y
_atom_site_fract_z
Tl1 Tl 0.000 0.000 0.418
Mg1 Mg 0.500 0.500 0.071
Er1 Er 0.000 0.500 0.843
Tl2 Tl 0.000 0.500 0.587
Er2 Er 0.500 0.000 0.658
Tl3 Tl 0.500 0.000 0.923
Er3 Er 0.000 0.000 0.162
Er4 Er 0.500 0.500 0.339

Entry 6:
# Ce2DyHg8 GGA-PBE relaxed
# * total magnetic moment: 2.3 μB per cell
# * electronic total energy: -2.0051 eV per atom
# * ΔH_f (0 K): -0.29 eV per atom
data_Ce2DyHg8
_symmetry_space_group_name_H-M 'P 1'
_symmetry_Int_Tables_number 1
_cell_length_a 5.122
_cell_length_b 7.319
_cell_length_c 8.394
_cell_angle_alpha 109.50
_cell_angle_beta 107.76
_cell_angle_gamma 90.00
loop_
_symmetry_equiv_pos_as_xyz
'x,y,z'
loop_
_atom_site_label
_atom_site_type_symbol
_atom_site_fract_x
_atom_site_fract_y
_atom_site_fract_z
Hg1 Hg 0.847 0.841 0.694
Ce1 Ce 0.792 0.345 0.583
Hg2 Hg 0.665 0.890 0.330
Hg3 Hg 0.016 0.728 0.032
Hg4 Hg 0.153 0.159 0.306
Hg5 Hg 0.595 0.446 0.189
Hg6 Hg 0.335 0.110 0.670
Hg7 Hg 0.405 0.554 0.811
Ce2 Ce 0.208 0.655 0.417
Hg8 Hg 0.984 0.272 0.968
Dy1 Dy 0.500 0.000 0.000

Entry 7:
# CrRuAu2 GGA-PBE relaxed
# * total magnetic moment: 1.5 μB per cell
# * electronic total energy: -6.2209 eV per atom
# * ΔH_f (0 K): 0.14 eV per atom
data_CrRuAu2
_symmetry_space_group_name_H-M 'P 1'
_symmetry_Int_Tables_number 1
_cell_length_a 2.842
_cell_length_b 2.842
_cell_length_c 7.839
_cell_angle_alpha 90.00
_cell_angle_beta 90.00
_cell_angle_gamma 90.00
loop_
_symmetry_equiv_pos_as_xyz
'x,y,z'
loop_
_atom_site_label
_atom_site_type_symbol
_atom_site_fract_x
_atom_site_fract_y
_atom_site_fract_z
Au1 Au 0.500 0.500 0.273
Ru1 Ru 0.500 0.500 0.713
Au2 Au 0.000 0.000 0.987
Cr1 Cr 0.000 0.000 0.528

Entry 8:
# RbZrGe2 GGA-PBE relaxed
# * total magnetic moment: 0.0 μB per cell
# * electronic total energy: -4.4878 eV per atom
# * ΔH_f (0 K): 0.20 eV per atom
data_RbZrGe2
_symmetry_space_group_name_H-M 'P 1'
_symmetry_Int_Tables_number 1
_cell_length_a 5.954
_cell_length_b 5.954
_cell_length_c 9.712
_cell_angle_alpha 72.15
_cell_angle_beta 72.15
_cell_angle_gamma 90.00
loop_
_symmetry_equiv_pos_as_xyz
'x,y,z'
loop_
_atom_site_label
_atom_site_type_symbol
_atom_site_fract_x
_atom_site_fract_y
_atom_site_fract_z
Ge1 Ge 0.854 0.125 0.250
Ge2 Ge 0.875 0.104 0.750
Ge3 Ge 0.896 0.625 0.250
Rb1 Rb 0.500 0.500 0.000
Ge4 Ge 0.375 0.146 0.750
Zr1 Zr 0.750 0.250 0.500
Rb2 Rb 0.250 0.750 0.500
Zr2 Zr 0.000 0.000 0.000

Entry 9:
# LaCe4Th3S8 GGA-PBE relaxed
# * total magnetic moment: 2.9 μB per cell
# * electronic total energy: -7.2322 eV per atom
data_LaCe4Th3S8
_symmetry_space_group_name_H-M 'P 1'
_symmetry_Int_Tables_number 1
_cell_length_a 8.090
_cell_length_b 8.096
_cell_length_c 8.090
_cell_angle_alpha 119.98
_cell_angle_beta 120.00
_cell_angle_gamma 90.00
loop_
_symmetry_equiv_pos_as_xyz
'x,y,z'
loop_
_atom_site_label
_atom_site_type_symbol
_atom_site_fract_x
_atom_site_fract_y
_atom_site_fract_z
S1 S 0.253 0.754 0.506
S2 S 0.747 0.246 0.999
S3 S 0.249 0.248 0.498
Th1 Th 0.500 0.500 0.500
S4 S 0.253 0.754 0.001
Ce1 Ce 0.000 0.000 0.000
S5 S 0.747 0.246 0.494
Ce2 Ce 0.000 0.000 0.500
La1 La 0.000 0.500 0.000
S6 S 0.252 0.246 0.999
Th2 Th 0.500 0.500 0.000
S7 S 0.751 0.752 0.502
Ce3 Ce 0.500 0.000 0.500
Ce4 Ce 0.500 0.000 0.000
S8 S 0.748 0.754 0.001
Th3 Th 0.000 0.500 0.500

Entry 10:
# Tm4Bi2B GGA-PBE relaxed
# * total magnetic moment: 0.0 μB per cell
# * electronic total energy: -5.1346 eV per atom
# * ΔH_f (0 K): -0.52 eV per atom
data_Tm4Bi2B
_symmetry_space_group_name_H-M 'P 1'
_symmetry_Int_Tables_number 1
_cell_length_a 4.173
_cell_length_b 7.768
_cell_length_c 11.919
_cell_angle_alpha 90.00
_cell_angle_beta 90.00
_cell_angle_gamma 90.00
loop_
_symmetry_equiv_pos_as_xyz
'x,y,z'
loop_
_atom_site_label
_atom_site_type_symbol
_atom_site_fract_x
_atom_site_fract_y
_atom_site_fract_z
Bi1 Bi 0.500 0.570 0.334
Tm1 Tm 0.000 0.633 0.809
Tm2 Tm 0.500 0.311 0.943
Tm3 Tm 0.000 0.133 0.691
B1 B 0.000 0.000 0.500
Bi2 Bi 0.500 0.430 0.666
Bi3 Bi 0.500 0.930 0.834
Tm4 Tm 0.000 0.867 0.309
Tm5 Tm 0.500 0.689 0.057
B2 B 0.000 0.500 0.000
Bi4 Bi 0.500 0.070 0.166
Tm6 Tm 0.000 0.367 0.191
Tm7 Tm 0.500 0.811 0.557
Tm8 Tm 0.500 0.189 0.443

Entry 11:
# NaTl2CuTe2 GGA-PBE relaxed
# * total magnetic moment: 0.0 μB per cell
# * electronic total energy: -3.0901 eV per atom
data_NaTl2CuTe2
_symmetry_space_group_name_H-M 'P 1'
_symmetry_Int_Tables_number 1
_cell_length_a 7.146
_cell_length_b 6.925
_cell_length_c 8.898
_cell_angle_alpha 112.90
_cell_angle_beta 113.68
_cell_angle_gamma 90.00
loop_
_symmetry_equiv_pos_as_xyz
'x,y,z'
loop_
_atom_site_label
_atom_site_type_symbol
_atom_site_fract_x
_atom_site_fract_y
_atom_site_fract_z
Cu1 Cu 0.500 0.250 0.000
Tl1 Tl 0.101 0.337 0.674
Na1 Na 0.000 0.250 0.000
Tl2 Tl 0.899 0.663 0.326
Tl3 Tl 0.427 0.163 0.326
Te1 Te 0.605 0.397 0.795
Te2 Te 0.810 0.103 0.205
Te3 Te 0.190 0.897 0.795
Te4 Te 0.395 0.603 0.205
Tl4 Tl 0.573 0.837 0.674
Cu2 Cu 0.500 0.750 0.000
Na2 Na 0.000 0.750 0.000

Entry 12:
# AgIrSe GGA-PBE relaxed
# * total magnetic moment: 0.0 μB per cell
# * electronic total energy: -4.7862 eV per atom
data_AgIrSe
_symmetry_space_group_name_H-M 'P 1'
_symmetry_Int_Tables_number 1
_cell_length_a 6.291
_cell_length_b 6.291
_cell_length_c 6.291
_cell_angle_alpha 151.93
_cell_angle_beta 151.93
_cell_angle_gamma 40.11
loop_
_symmetry_equiv_pos_as_xyz
'x,y,z'
loop_
_atom_site_label
_atom_site_type_symbol
_atom_site_fract_x
_atom_site_fract_y
_atom_site_fract_z
Ag1 Ag 0.985 0.985 0.000
Ir1 Ir 0.314 0.314 0.000
Se1 Se 0.701 0.701 0.000